1.
# GGA-PBE Ca2GdDy, optimized geometry
# Total moment (μB per formula unit): 8.512
# ΔE to the lowest computed polymorph (eV per atom): 0.076
# Mass density (g/cm³): 4.57
# E_form (eV per atom): 0.24
# Crystal system: trigonal
# SG: No. 166
# Calculated total energy (eV/f.u.): -21.746
data_Ca2GdDy
_chemical_formula_sum 'Ca2 Gd1 Dy1'
_cell_length_a 3.582
_cell_length_b 3.582
_cell_length_c 13.238
_cell_angle_alpha 82.22
_cell_angle_beta 82.22
_cell_angle_gamma 60.00
_space_group_name_H-M_alt 'P 1'
_space_group_IT_number 1
loop_
_space_group_symop_operation_xyz
'x,y,z'
loop_
_atom_site_label
_atom_site_fract_x
_atom_site_fract_y
_atom_site_fract_z
Ca1 0.412 0.412 0.764
Ca2 0.588 0.588 0.236
Gd1 0.500 0.500 0.500
Dy1 0.000 0.000 0.000


2.
# GGA-PBE LiZn3, optimized geometry
# Total moment (μB per formula unit): 0.000
# Mass density (g/cm³): 5.89
# E_form (eV per atom): -0.16
# Crystal system: cubic
# SG: No. 225
# Calculated total energy (eV/f.u.): -6.359
data_LiZn3
_chemical_formula_sum 'Li1 Zn3'
_cell_length_a 4.328
_cell_length_b 4.328
_cell_length_c 4.328
_cell_angle_alpha 60.00
_cell_angle_beta 60.00
_cell_angle_gamma 60.00
_space_group_name_H-M_alt 'P 1'
_space_group_IT_number 1
loop_
_space_group_symop_operation_xyz
'x,y,z'
loop_
_atom_site_label
_atom_site_fract_x
_atom_site_fract_y
_atom_site_fract_z
Zn1 0.250 0.250 0.250
Zn2 0.500 0.500 0.500
Zn3 0.750 0.750 0.750
Li1 0.000 0.000 0.000


3.
# GGA-PBE CuReNi2H, optimized geometry
# Total moment (μB per formula unit): 1.573
# Mass density (g/cm³): 11.98
# Crystal system: tetragonal
# SG: No. 123
# Calculated total energy (eV/f.u.): -29.561
data_CuReNi2H
_chemical_formula_sum 'Cu1 Re1 Ni2 H1'
_cell_length_a 3.679
_cell_length_b 3.771
_cell_length_c 3.679
_cell_angle_alpha 90.00
_cell_angle_beta 90.00
_cell_angle_gamma 90.00
_space_group_name_H-M_alt 'P 1'
_space_group_IT_number 1
loop_
_space_group_symop_operation_xyz
'x,y,z'
loop_
_atom_site_label
_atom_site_fract_x
_atom_site_fract_y
_atom_site_fract_z
Re1 0.500 0.500 0.500
H1 0.000 0.000 0.000
Cu1 0.000 0.500 0.000
Ni1 0.000 0.000 0.500
Ni2 0.500 0.000 0.000


4.
# GGA-PBE Er2TlZn3, optimized geometry
# Total moment (μB per formula unit): 0.000
# ΔE to the lowest computed polymorph (eV per atom): 0.000
# Mass density (g/cm³): 9.51
# E_form (eV per atom): -0.32
# Crystal system: orthorhombic
# SG: No. 69
# Calculated total energy (eV/f.u.): -17.260
data_Er2TlZn3
_chemical_formula_sum 'Er4 Tl2 Zn6'
_cell_length_a 5.784
_cell_length_b 5.784
_cell_length_c 8.683
_cell_angle_alpha 104.43
_cell_angle_beta 104.43
_cell_angle_gamma 104.58
_space_group_name_H-M_alt 'P 1'
_space_group_IT_number 1
loop_
_space_group_symop_operation_xyz
'x,y,z'
loop_
_atom_site_label
_atom_site_fract_x
_atom_site_fract_y
_atom_site_fract_z
Er1 0.250 0.750 0.500
Er2 0.756 0.756 0.000
Er3 0.750 0.250 0.500
Er4 0.244 0.244 0.000
Tl1 0.666 0.666 0.331
Tl2 0.334 0.334 0.669
Zn1 0.321 0.839 0.160
Zn2 0.161 0.679 0.840
Zn3 0.679 0.161 0.840
Zn4 0.839 0.321 0.160
Zn5 0.161 0.161 0.321
Zn6 0.839 0.839 0.679


5.
# GGA-PBE TiBeTe2, optimized geometry
# Total moment (μB per formula unit): 2.272
# Mass density (g/cm³): 5.34
# Crystal system: trigonal
# SG: No. 166
# Raw formation energy (eV/atom): 0.304
# Calculated total energy (eV/f.u.): -16.687
data_TiBeTe2
_chemical_formula_sum 'Ti1 Be1 Te2'
_cell_length_a 8.730
_cell_length_b 8.730
_cell_length_c 8.730
_cell_angle_alpha 24.05
_cell_angle_beta 24.05
_cell_angle_gamma 24.05
_space_group_name_H-M_alt 'P 1'
_space_group_IT_number 1
loop_
_space_group_symop_operation_xyz
'x,y,z'
loop_
_atom_site_label
_atom_site_fract_x
_atom_site_fract_y
_atom_site_fract_z
Be1 0.500 0.500 0.500
Te1 0.893 0.893 0.893
Te2 0.107 0.107 0.107
Ti1 0.000 0.000 0.000


6.
# GGA-PBE Mg2Si3, optimized geometry
# Total moment (μB per formula unit): 0.000
# ΔE to the lowest computed polymorph (eV per atom): 0.061
# Mass density (g/cm³): 2.38
# Crystal system: triclinic
# SG: No. 2
# Raw formation energy (eV/atom): 0.090
# Calculated total energy (eV/f.u.): -19.008
data_Mg2Si3
_chemical_formula_sum 'Mg8 Si12'
_cell_length_a 3.949
_cell_length_b 6.021
_cell_length_c 16.476
_cell_angle_alpha 97.01
_cell_angle_beta 90.20
_cell_angle_gamma 107.62
_space_group_name_H-M_alt 'P 1'
_space_group_IT_number 1
loop_
_space_group_symop_operation_xyz
'x,y,z'
loop_
_atom_site_label
_atom_site_fract_x
_atom_site_fract_y
_atom_site_fract_z
Mg1 0.351 0.711 0.246
Mg2 0.649 0.289 0.754
Mg3 0.177 0.360 0.055
Mg4 0.823 0.640 0.945
Mg5 0.927 0.859 0.756
Mg6 0.073 0.141 0.244
Mg7 0.686 0.371 0.563
Mg8 0.314 0.629 0.437
Si1 0.500 0.997 0.081
Si2 0.111 0.242 0.889
Si3 0.889 0.758 0.111
Si4 0.500 0.003 0.919
Si5 0.260 0.524 0.678
Si6 0.740 0.476 0.322
Si7 0.928 0.857 0.546
Si8 0.072 0.143 0.454
Si9 0.452 0.908 0.633
Si10 0.548 0.092 0.367
Si11 0.689 0.389 0.173
Si12 0.311 0.611 0.827